No. 1
Cd2Ge2Mo | SCAN | PBEsol geometry

Cell: 3.5506 3.5506 8.2874 Å, 102.37 102.37 90.00°
Last column: nearest neighbours and their distance in Å.
Element x y z (fractional)
Ge1 0.7500 0.2500 0.5000  4 Ge 2.51
Ge2 0.2500 0.7500 0.5000  4 Ge 2.51
Mo1 0.0000 0.0000 0.0000  8 Cd 2.92
Cd1 0.4054 0.4054 0.8107  4 Mo 2.92, 1 Cd 2.99, 4 Ge 3.03
Cd2 0.5946 0.5946 0.1893  4 Mo 2.92, 1 Cd 2.99, 4 Ge 3.03

Computed properties:
For the total energy, the calculation gives -26.086 eV per atom. Its formation enthalpy at 0 K is 0.692 eV per atom. Its total magnetization is 0.554 μB/atom.

---

No. 2
ZrCd2GeMo | SCAN | PBEsol geometry

Cell: 4.6686 5.0392 5.0392 Å, 90.00 90.00 90.00°
Last column: nearest neighbours and their distance in Å.
Element x y z (fractional)
Mo1 0.0000 0.0000 0.0000  2 Ge 2.33, 4 Cd 2.52
Cd1 0.0000 0.5000 0.0000  2 Mo 2.52
Cd2 0.0000 0.0000 0.5000  2 Mo 2.52
Zr1 0.5000 0.5000 0.5000  8 Cd 3.43, 4 Ge 3.56
Ge1 0.5000 0.0000 0.0000  2 Mo 2.33

Computed properties:
For the total energy, the calculation gives -28.224 eV per atom. Its formation enthalpy at 0 K is 0.877 eV per atom. Its total magnetization is 0.001 μB/atom.

---

No. 3
CdGeN2 | SCAN | PBEsol geometry

Cell: 5.4246 5.6179 6.8633 Å, 90.00 90.00 90.00°
Last column: nearest neighbours and their distance in Å.
Element x y z (fractional)
N1 0.3414 0.0490 0.0938  2 Ge 1.85-1.86
N2 0.4111 0.1138 0.6565  2 Ge 1.87
N3 0.3414 0.5490 0.4062  2 Ge 1.85-1.86
N4 0.8414 0.4510 0.5938  2 Ge 1.85-1.86
N5 0.8414 0.9510 0.9062  2 Ge 1.85-1.86
N6 0.9111 0.8862 0.3435  2 Ge 1.87
N7 0.4111 0.6138 0.8435  2 Ge 1.87
N8 0.9111 0.3862 0.1565  2 Ge 1.87
Ge1 0.5004 0.9335 0.8746  4 N 1.85-1.87
Ge2 0.5004 0.4335 0.6254  4 N 1.85-1.87
Ge3 0.0004 0.5665 0.3746  4 N 1.85-1.87
Ge4 0.0004 0.0665 0.1254  4 N 1.85-1.87
Cd1 0.4979 0.9205 0.3762  4 N 2.24-2.26
Cd2 0.4979 0.4205 0.1238  4 N 2.24-2.26
Cd3 0.9979 0.0795 0.6238  4 N 2.24-2.26
Cd4 0.9979 0.5795 0.8762  4 N 2.24-2.26

Computed properties:
The uncorrected formation energy is -95 meV/atom. For the total energy, the calculation gives -17.116 eV per atom. Its total magnetization is 0.000 μB/atom.

---

No. 4
CdGeN2 | SCAN | PBEsol geometry

Cell: 5.4584 10.9268 14.1303 Å, 90.00 90.00 90.00°
Last column: nearest neighbours and their distance in Å.
Element x y z (fractional)
Cd1 0.2233 0.5257 0.5611  4 N 2.20-2.35
Cd2 0.2767 0.0257 0.5611  4 N 2.20-2.35
Cd3 0.7233 0.5257 0.9389  4 N 2.20-2.35
Cd4 0.7057 0.7393 0.8105  3 N 2.21-2.29
Cd5 0.7943 0.2393 0.8105  3 N 2.21-2.29
Cd6 0.2767 0.4743 0.0611  4 N 2.20-2.35
Cd7 0.7767 0.0257 0.9389  4 N 2.20-2.35
Cd8 0.2057 0.7607 0.1895  3 N 2.21-2.29
Cd9 0.2057 0.7393 0.6895  3 N 2.21-2.29
Cd10 0.7943 0.2607 0.3105  3 N 2.21-2.29
Cd11 0.2943 0.2607 0.1895  3 N 2.21-2.29
Cd12 0.7233 0.9743 0.4389  4 N 2.20-2.35
Cd13 0.2233 0.9743 0.0611  4 N 2.20-2.35
Cd14 0.7057 0.7607 0.3105  3 N 2.21-2.29
Cd15 0.2943 0.2393 0.6895  3 N 2.21-2.29
Cd16 0.7767 0.4743 0.4389  4 N 2.20-2.35
N1 0.3119 0.8073 0.8312  2 Ge 1.87-1.88
N2 0.8635 0.9747 0.2927  2 Ge 1.85-1.86
N3 0.3119 0.6927 0.3312  2 Ge 1.87-1.88
N4 0.8119 0.8073 0.6688  2 Ge 1.87-1.88
N5 0.6273 0.2731 0.4540  2 Ge 1.85-1.86
N6 0.3727 0.7269 0.5460  2 Ge 1.85-1.86
N7 0.6273 0.2269 0.9540  2 Ge 1.85-1.86
N8 0.3635 0.9747 0.2073  2 Ge 1.85-1.86
N9 0.1979 0.4419 0.4197  2 Ge 1.86-1.87
N10 0.3635 0.5253 0.7073  2 Ge 1.85-1.86
N11 0.6979 0.0581 0.5803  2 Ge 1.86-1.87
N12 0.1881 0.3073 0.8312  2 Ge 1.87-1.88
N13 0.1273 0.2731 0.0460  2 Ge 1.85-1.86
N14 0.1881 0.1927 0.3312  2 Ge 1.87-1.88
N15 0.1273 0.2269 0.5460  2 Ge 1.85-1.86
N16 0.1979 0.0581 0.9197  2 Ge 1.86-1.87
N17 0.8021 0.5581 0.5803  2 Ge 1.86-1.87
N18 0.8635 0.5253 0.7927  2 Ge 1.85-1.86
N19 0.3727 0.7731 0.0460  2 Ge 1.85-1.86
N20 0.6365 0.0253 0.7927  2 Ge 1.85-1.86
N21 0.3021 0.5581 0.9197  2 Ge 1.86-1.87
N22 0.6881 0.3073 0.6688  2 Ge 1.87-1.88
N23 0.6365 0.4747 0.2927  2 Ge 1.85-1.86
N24 0.1365 0.0253 0.7073  2 Ge 1.85-1.86
N25 0.3021 0.9419 0.4197  2 Ge 1.86-1.87
N26 0.8727 0.7269 0.9540  2 Ge 1.85-1.86
N27 0.8021 0.9419 0.0803  2 Ge 1.86-1.87
N28 0.1365 0.4747 0.2073  2 Ge 1.85-1.86
N29 0.8727 0.7731 0.4540  2 Ge 1.85-1.86
N30 0.6979 0.4419 0.0803  2 Ge 1.86-1.87
N31 0.8119 0.6927 0.1688  2 Ge 1.87-1.88
N32 0.6881 0.1927 0.1688  2 Ge 1.87-1.88
Ge1 0.2115 0.7790 0.4384  4 N 1.85-1.87
Ge2 0.6864 0.4773 0.6871  4 N 1.85-1.88
Ge3 0.2885 0.2210 0.9384  4 N 1.85-1.87
Ge4 0.8136 0.5227 0.1871  4 N 1.85-1.88
Ge5 0.7885 0.2210 0.5616  4 N 1.85-1.87
Ge6 0.2885 0.2790 0.4384  4 N 1.85-1.87
Ge7 0.3136 0.9773 0.8129  4 N 1.85-1.88
Ge8 0.7115 0.7790 0.0616  4 N 1.85-1.87
Ge9 0.1864 0.0227 0.3129  4 N 1.85-1.88
Ge10 0.1864 0.4773 0.8129  4 N 1.85-1.88
Ge11 0.8136 0.9773 0.6871  4 N 1.85-1.88
Ge12 0.3136 0.5227 0.3129  4 N 1.85-1.88
Ge13 0.6864 0.0227 0.1871  4 N 1.85-1.88
Ge14 0.2115 0.7210 0.9384  4 N 1.85-1.87
Ge15 0.7885 0.2790 0.0616  4 N 1.85-1.87
Ge16 0.7115 0.7210 0.5616  4 N 1.85-1.87

Computed properties:
The uncorrected formation energy is -29 meV/atom. For the total energy, the calculation gives -17.050 eV per atom. Its total magnetization is 0.000 μB/atom.

---

No. 5
CdGe2N | SCAN | PBEsol geometry

Cell: 4.5067 4.5067 4.5067 Å, 60.00 60.00 60.00°
Last column: nearest neighbours and their distance in Å.
Element x y z (fractional)
Cd1 0.5000 0.5000 0.5000  8 Ge 2.76
Ge1 0.2500 0.2500 0.2500  4 Cd 2.76, 4 N 2.76
Ge2 0.7500 0.7500 0.7500  4 Cd 2.76, 4 N 2.76
N1 0.0000 0.0000 0.0000  8 Ge 2.76

Computed properties:
The uncorrected formation energy is 1272 meV/atom. For the total energy, the calculation gives -18.198 eV per atom. Its total magnetization is 0.247 μB/atom.

---

No. 6
CdGeN2 | SCAN | PBEsol geometry

Cell: 4.8967 5.5523 4.8967 Å, 63.83 90.00 116.17°
Last column: nearest neighbours and their distance in Å.
Element x y z (fractional)
N1 0.8750 0.2500 0.5584  2 Ge 1.87
N2 0.1916 0.7500 0.8750  2 Ge 1.87
N3 0.3750 0.2500 0.1916  2 Ge 1.87
N4 0.5584 0.7500 0.3750  2 Ge 1.87
Ge1 0.5000 0.0000 0.5000  4 N 1.87
Ge2 0.2500 0.5000 0.2500  4 N 1.87
Cd1 0.7500 0.5000 0.7500  4 N 2.25
Cd2 0.0000 0.0000 0.0000  4 N 2.25

Computed properties:
The uncorrected formation energy is -86 meV/atom. For the total energy, the calculation gives -17.107 eV per atom. Its total magnetization is 0.000 μB/atom.

---

No. 7
CdGeOsN2 | SCAN | PBEsol geometry

Cell: 3.8285 3.8285 4.9094 Å, 90.00 90.00 90.00°
Last column: nearest neighbours and their distance in Å.
Element x y z (fractional)
Os1 0.0000 0.0000 0.5000  2 Ge 2.45, 4 Cd 2.71
N1 0.0000 0.5000 0.0000  2 Ge 1.91
N2 0.5000 0.0000 0.0000  2 Ge 1.91
Ge1 0.0000 0.0000 0.0000  4 N 1.91
Cd1 0.5000 0.5000 0.5000  4 Os 2.71

Computed properties:
The uncorrected formation energy is 1750 meV/atom. For the total energy, the calculation gives -26.243 eV per atom. Its total magnetization is 0.782 μB/atom.

---

No. 8
NaCd3Ge | SCAN | PBEsol geometry

Cell: 5.2178 5.2178 5.2178 Å, 90.00 90.00 90.00°
Last column: nearest neighbours and their distance in Å.
Element x y z (fractional)
Ge1 0.0000 0.0000 0.0000  6 Cd 2.61
Cd1 0.0000 0.0000 0.5000  2 Ge 2.61
Cd2 0.0000 0.5000 0.0000  2 Ge 2.61
Cd3 0.5000 0.0000 0.0000  2 Ge 2.61
Na1 0.5000 0.5000 0.5000  12 Cd 3.69

Computed properties:
For the total energy, the calculation gives -22.677 eV per atom. Its formation enthalpy at 0 K is 0.232 eV per atom. Its total magnetization is 0.000 μB/atom.

---

No. 9
NaCd2Ge2 | SCAN | PBEsol geometry

Cell: 4.4600 4.4600 6.4420 Å, 110.25 110.25 90.00°
Last column: nearest neighbours and their distance in Å.
Element x y z (fractional)
Cd1 0.7500 0.2500 0.5000  4 Ge 2.74
Cd2 0.2500 0.7500 0.5000  4 Ge 2.74
Ge1 0.3923 0.3923 0.7845  1 Ge 2.42
Ge2 0.6077 0.6077 0.2155  1 Ge 2.42
Na1 0.0000 0.0000 0.0000  8 Ge 3.38, 8 Cd 3.59

Computed properties:
For the total energy, the calculation gives -20.733 eV per atom. Its formation enthalpy at 0 K is -0.090 eV per atom. Its total magnetization is 0.000 μB/atom.